Material: KTiZn3
Method: DFT, GGA-PBE
State: optimized geometry

For the mass density, the calculation gives 2.9 g/cm3. The energy above the most stable polymorph in this dataset comes out at 5.03 eV/f.u. As for the symmetry: Pm-3m. The value obtained for the magnetic moment is 0.02 μB per cell. Its total energy is -1.074 eV/atom. The formation energy is 7.4 eV per formula unit.

Cell and atoms, written as extended XYZ:
```
5
Lattice="-4.587 -1.930 2.243 2.162 -5.011 0.108 2.021 0.979 4.975" Properties=species:S:1:pos:R:3 pbc="T T T"
Zn 1.010 0.489 2.488
Zn -2.293 -0.965 1.121
Zn 1.081 -2.506 0.054
K 0.000 0.000 0.000
Ti -0.202 -2.981 3.663
```

***

Material: Sm4Pb2C
Method: DFT, GGA-PBE
State: optimized geometry

For the mass density, the calculation gives 8.4 g/cm3. The energy above the most stable polymorph in this dataset comes out at 0.00 eV/f.u. As for the symmetry: I4/mmm. The value obtained for the magnetic moment is 0.00 μB per cell. Its total energy is -5.553 eV/atom. The formation energy is -3.4 eV per formula unit.

Cell and atoms, written as extended XYZ:
```
7
Lattice="4.959 0.000 0.000 0.000 4.959 0.000 2.480 2.480 8.247" Properties=species:S:1:pos:R:3 pbc="T T T"
Sm 4.959 4.959 2.627
Sm 0.000 2.480 0.000
Sm 2.480 0.000 0.000
Sm 2.480 2.480 5.620
Pb 2.480 2.480 2.327
Pb 4.959 4.959 5.920
C 0.000 0.000 0.000
```

***

Copy entry 2 word for word.
Material: Sm4Pb2C
Method: DFT, GGA-PBE
State: optimized geometry

For the mass density, the calculation gives 8.4 g/cm3. The energy above the most stable polymorph in this dataset comes out at 0.00 eV/f.u. As for the symmetry: I4/mmm. The value obtained for the magnetic moment is 0.00 μB per cell. Its total energy is -5.553 eV/atom. The formation energy is -3.4 eV per formula unit.

Cell and atoms, written as extended XYZ:
```
7
Lattice="4.959 0.000 0.000 0.000 4.959 0.000 2.480 2.480 8.247" Properties=species:S:1:pos:R:3 pbc="T T T"
Sm 4.959 4.959 2.627
Sm 0.000 2.480 0.000
Sm 2.480 0.000 0.000
Sm 2.480 2.480 5.620
Pb 2.480 2.480 2.327
Pb 4.959 4.959 5.920
C 0.000 0.000 0.000
```

***

Q: Which value of mass density does entry 2 give?
A: 8.4 g/cm3